Record 1
DFT (PBE) results for RbDySeO after structural relaxation.

Calculated values
**Magnetization**: 0.0001 μB per atom
**E**: -5.651 eV per atom

Cell: 4.5614 8.4663 6.7398 Å, 90.00 90.00 90.00°
With the nearest neighbours (Å) after each atom.
Space group Pmc2_1 (No. 26)
Unique sites:
Rb1 0.0000 0.1991 0.0000 x2  2 O 3.06, 2 Se 3.33-3.41
Dy1 0.5000 0.3826 0.4276 x2  2 O 2.10-2.11
Se1 0.0000 0.2071 0.5065 x2  2 Dy 2.77
O1 0.5000 0.4210 0.1179 x2  2 Dy 2.10-2.11

Record 2
DFT (PBE) results for CsBaCd after structural relaxation.

Calculated values
**E**: -0.937 eV per atom

Cell: 8.6405 8.6405 8.6405 Å, 90.00 90.00 90.00°
With the nearest neighbours (Å) after each atom.
Space group F-43m (No. 216)
Unique sites:
Cs1 0.0000 0.0000 0.0000 x4  4 Ba 3.74
Ba1 0.2500 0.2500 0.7500 x4  4 Cd 3.74, 4 Cs 3.74
Cd1 0.0000 0.0000 0.5000 x4  4 Ba 3.74

Record 3
DFT (PBE) results for RbNbFeSe3 after structural relaxation.

Calculated values
**Magnetization**: 0.3678 μB per atom
**E**: -5.746 eV per atom

Cell: 3.6419 16.2068 9.8053 Å, 90.00 90.00 90.00°
With the nearest neighbours (Å) after each atom.
Space group Cmcm (No. 63)
Unique sites:
Rb1 0.0000 0.2499 0.2500 x4  8 Se 3.42-3.70, 2 Rb 3.64
Nb1 0.0000 0.0000 0.0000 x4  6 Se 2.67-2.70
Fe1 0.0000 0.4711 0.7500 x4  4 Se 2.37-2.42
Se1 0.0000 0.0693 0.7500 x4  2 Fe 2.42, 2 Nb 2.70
Se2 0.0000 0.3846 0.5550 x8  1 Fe 2.37

Record 4
DFT (PBE) results for YTlFePd after structural relaxation.

Calculated values
**Magnetization**: 0.6906 μB per atom
**E**: -5.616 eV per atom

Cell: 6.8582 6.8582 6.8582 Å, 90.00 90.00 90.00°
With the nearest neighbours (Å) after each atom.
Space group F-43m (No. 216)
Unique sites:
Y1 0.0000 0.0000 0.0000 x4  4 Tl 2.97, 4 Pd 2.97
Tl1 0.2500 0.2500 0.2500 x4  4 Fe 2.97, 4 Y 2.97
Fe1 0.0000 0.0000 0.5000 x4  4 Pd 2.97, 4 Tl 2.97
Pd1 0.2500 0.2500 0.7500 x4  4 Y 2.97, 4 Fe 2.97